No. 1
Tm2BeZnIr2: optimized geometry, GGA-PBE.

As for the space group: No. 72.

Structure (POSCAR):
```
Tm2BeZnIr2
1.0
-2.832 6.702 2.808
2.832 -6.702 2.808
2.832 6.702 -2.808
Tm Be Zn Ir
4 2 2 4
Direct
0.171 0.224 0.395
0.329 0.724 0.054
0.671 0.276 0.946
0.829 0.776 0.605
0.250 0.750 0.500
0.750 0.250 0.500
0.250 0.250 0.000
0.750 0.750 0.000
0.112 0.708 0.820
0.388 0.208 0.596
0.612 0.792 0.404
0.888 0.292 0.180
```

---

No. 2
Be3VIr: optimized geometry, GGA-PBE.

The calculation puts the distance to the lowest polymorph of the same formula at 1.027 eV/atom. As for the space group: No. 221.

Structure (POSCAR):
```
Be3VIr
1.0
3.942 0.000 0.000
0.000 3.942 0.000
0.000 0.000 3.942
Be V Ir
3 1 1
Direct
0.000 0.000 0.500
0.000 0.500 0.000
0.500 0.000 0.000
0.000 0.000 0.000
0.500 0.500 0.500
```

---

No. 3
Be5VIr6: optimized geometry, GGA-PBE.

As for the space group: No. 10.

Structure (POSCAR):
```
Be5VIr6
1.0
4.038 0.000 0.000
0.000 5.737 0.000
-1.999 0.000 6.007
Be V Ir
5 1 6
Direct
0.000 0.000 0.000
0.333 0.500 0.669
0.335 0.000 0.673
0.665 0.000 0.327
0.667 0.500 0.331
0.000 0.500 0.000
0.171 0.245 0.340
0.171 0.755 0.340
0.500 0.240 0.000
0.500 0.760 0.000
0.829 0.245 0.660
0.829 0.755 0.660
```

---

No. 4
Be2VIr2: optimized geometry, GGA-PBE.

The calculation puts the distance to the lowest polymorph of the same formula at 0.000 eV/atom. As for the space group: No. 127.

Structure (POSCAR):
```
Be2VIr2
1.0
6.477 0.000 0.000
0.000 6.477 0.000
0.000 0.000 2.780
Be V Ir
4 2 4
Direct
0.121 0.379 0.000
0.379 0.879 0.000
0.621 0.121 0.000
0.879 0.621 0.000
0.000 0.000 0.000
0.500 0.500 0.000
0.173 0.673 0.500
0.327 0.173 0.500
0.673 0.827 0.500
0.827 0.327 0.500
```

---

No. 5
BeVIr: optimized geometry, GGA-PBE.

The calculation puts the distance to the lowest polymorph of the same formula at 0.000 eV/atom. As for the space group: No. 63.

Structure (POSCAR):
```
BeVIr
1.0
1.385 -7.354 0.000
1.385 7.354 0.000
0.000 0.000 3.499
Be V Ir
2 2 2
Direct
0.039 0.961 0.750
0.961 0.039 0.250
0.205 0.795 0.750
0.795 0.205 0.250
0.402 0.598 0.750
0.598 0.402 0.250
```

---

No. 6
Be2VIr2: optimized geometry, GGA-PBE.

The calculation puts the distance to the lowest polymorph of the same formula at 0.195 eV/atom. As for the space group: No. 127.

Structure (POSCAR):
```
Be2VIr2
1.0
6.622 0.000 0.000
0.000 6.622 0.000
0.000 0.000 2.790
Be V Ir
4 2 4
Direct
0.149 0.351 0.000
0.351 0.851 0.000
0.649 0.149 0.000
0.851 0.649 0.000
0.000 0.000 0.500
0.500 0.500 0.500
0.148 0.648 0.500
0.352 0.148 0.500
0.648 0.852 0.500
0.852 0.352 0.500
```

---

No. 7
Be4VIr: optimized geometry, GGA-PBE.

As for the space group: No. 216.

Structure (POSCAR):
```
Be4VIr
1.0
0.000 3.058 3.058
3.058 0.000 3.058
3.058 3.058 0.000
Be V Ir
4 1 1
Direct
0.376 0.376 0.376
0.376 0.376 0.871
0.376 0.871 0.376
0.871 0.376 0.376
0.750 0.750 0.750
0.000 0.000 0.000
```

---

No. 8
BeVIr3: optimized geometry, GGA-PBE.

As for the space group: No. 221.

Structure (POSCAR):
```
BeVIr3
1.0
4.493 0.000 0.000
0.000 4.493 0.000
0.000 0.000 4.493
Be V Ir
1 1 3
Direct
0.000 0.000 0.000
0.500 0.500 0.500
0.000 0.500 0.500
0.500 0.000 0.500
0.500 0.500 0.000
```

---

No. 9
Be2VIr2: optimized geometry, GGA-PBE.

The calculation puts the distance to the lowest polymorph of the same formula at 0.091 eV/atom. As for the space group: No. 65.

Structure (POSCAR):
```
Be2VIr2
1.0
1.486 -7.076 0.000
1.486 7.076 0.000
0.000 0.000 2.794
Be V Ir
2 1 2
Direct
0.200 0.800 0.000
0.800 0.200 0.000
0.000 0.000 0.000
0.373 0.627 0.500
0.627 0.373 0.500
```

---

No. 10
BeV3Ir4: optimized geometry, GGA-PBE.

As for the space group: No. 123.

Structure (POSCAR):
```
BeV3Ir4
1.0
2.800 0.000 0.000
0.000 2.800 0.000
0.000 0.000 13.478
Be V Ir
1 3 4
Direct
0.000 0.000 0.000
0.000 0.000 0.231
0.000 0.000 0.500
0.000 0.000 0.769
0.500 0.500 0.106
0.500 0.500 0.366
0.500 0.500 0.634
0.500 0.500 0.894
```

---

No. 11
Be2VIr: optimized geometry, GGA-PBE.

As for the space group: No. 123.

Structure (POSCAR):
```
Be2VIr
1.0
2.788 0.000 0.000
0.000 2.788 0.000
0.000 0.000 5.749
Be V Ir
2 1 1
Direct
0.000 0.000 0.219
0.000 0.000 0.781
0.500 0.500 0.500
0.500 0.500 0.000
```

---

No. 12
BeVIr: optimized geometry, GGA-PBE.

The calculation puts the distance to the lowest polymorph of the same formula at 0.016 eV/atom. As for the space group: No. 156.

Structure (POSCAR):
```
BeVIr
1.0
3.985 0.000 0.000
-1.992 3.451 0.000
0.000 0.000 2.711
Be V Ir
1 1 1
Direct
0.000 0.000 0.000
0.667 0.333 0.518
0.333 0.667 0.043
```

---

Calculated energy relative to the elements, -0.6880; 1.4347; -0.5945; -0.4964; -0.3977; -0.3012; -0.4838; 1.3881; -0.4053; -0.5378; -0.2974; -0.3817 eV per atom (same order as the records).